(1)
The following is a PBE-GGA calculation of a relaxed structure of SrZrAl, from OQMD via LeMat-Bulk.

```
3
Lattice="-1.876 -4.479 -1.552 -4.613 -0.221 -2.160 -0.437 -0.992 -4.982" Properties=species:S:1:pos:R:3 pbc="T T T"
Al -1.731 -1.423 -2.174
Sr 0.000 0.000 0.000
Zr -5.194 -4.269 -6.521
```

Results
- Crystal system: cubic
- ΔE to the lowest computed polymorph: 1.95 eV/f.u.

---

(2)
The following is a PBE-GGA calculation of a relaxed structure of YMg2Ni2, from OQMD via LeMat-Bulk.

```
5
Lattice="-1.995 1.995 5.745 1.995 -1.995 5.745 1.995 1.995 -5.745" Properties=species:S:1:pos:R:3 pbc="T T T"
Mg 0.000 1.995 2.872
Mg 1.995 0.000 2.872
Ni 0.000 0.000 4.599
Ni 0.000 0.000 6.891
Y 0.000 0.000 0.000
```

Results
- Crystal system: tetragonal

---

Short version: total DFT energy (no corrections) = -0.2526 -0.3212 Ry per atom, in the order given.